(1)
The following is a PBE-GGA calculation of Tl2AgMo after structural relaxation, from Alexandria via LeMat-Bulk.

The structure belongs to space group C2/m (No. 12); the cell edges are 6.4343, 9.5603 and 3.0163 Å and the angles 90.00°, 115.20° and 90.00°. The asymmetric unit holds Tl at (0.2500, 0.2500, 0.0000), Ag at (0.0000, 0.0000, 0.5000) and Mo at (0.0000, 0.5000, 0.5000).

The calculation puts the distance to the lowest polymorph of the same formula at 0.073 eV/atom. The calculation puts the formation energy at 0.63 eV per atom. Its total magnetic moment is 0.46 μB/cell. The total energy is -3.974 eV per atom.


(2)
The following is a PBE-GGA calculation of LaAs2PbS after structural relaxation, from Alexandria via LeMat-Bulk.

The structure belongs to space group P4/mmm (No. 123); the cell edges are 5.0639, 5.0639 and 5.3249 Å and the angles 90.00°, 90.00° and 90.00°. The asymmetric unit holds La at (0.0000, 0.0000, 0.0000), As at (0.0000, 0.5000, 0.5000), Pb at (0.5000, 0.5000, 0.0000) and S at (0.0000, 0.0000, 0.5000).

Its total magnetic moment is 0.00 μB/cell. The value obtained for the raw formation energy is -0.2316 eV per atom. The total energy is -4.644 eV per atom.


(3)
The following is a PBE-GGA calculation of BeIr2Ru after structural relaxation, from Alexandria via LeMat-Bulk.

The structure belongs to space group Cmm2 (No. 35); the cell edges are 2.7387, 4.6450 and 8.4144 Å and the angles 90.00°, 90.00° and 90.00°. The asymmetric unit holds Be at (0.0000, 0.0000, 0.0000), Ir at (0.0000, 0.0000, 0.5030), Ir at (0.0000, 0.5000, 0.2182) and Ru at (0.0000, 0.5000, 0.7743).

The calculation puts the formation energy at 0.16 eV per atom. Its total magnetic moment is 0.00 μB/cell. The total energy is -7.521 eV per atom.


(4)
The following is a PBE-GGA calculation of PrEr2 after structural relaxation, from Alexandria via LeMat-Bulk.

The structure belongs to space group C2/m (No. 12); the cell edges are 6.2485, 3.6053 and 8.8599 Å and the angles 90.00°, 103.67° and 90.00°. The asymmetric unit holds Pr at (0.0000, 0.0000, 0.0000) and Er at (0.2202, 0.0000, 0.6617).

The calculation puts the distance to the lowest polymorph of the same formula at 0.000 eV/atom. The calculation puts the formation energy at 0.00 eV per atom. Its total magnetic moment is 0.00 μB/cell. The total energy is -4.639 eV per atom.


(5)
The following is a PBE-GGA calculation of FeP2Os after structural relaxation, from Alexandria via LeMat-Bulk.

The structure belongs to space group Fm-3m (No. 225); the cell edges are 5.7919, 5.7919 and 5.7919 Å and the angles 90.00°, 90.00° and 90.00°. The asymmetric unit holds Fe at (0.0000, 0.0000, 0.0000), P at (0.2500, 0.2500, 0.2500) and Os at (0.0000, 0.0000, 0.5000).

The calculation puts the distance to the lowest polymorph of the same formula at 0.257 eV/atom. The calculation puts the formation energy at 0.00 eV per atom. Its total magnetic moment is 4.63 μB/cell. The total energy is -7.623 eV per atom.


(6)
The following is a PBE-GGA calculation of InHI3 after structural relaxation, from Alexandria via LeMat-Bulk.

The structure belongs to space group Pm-3m (No. 221); the cell edges are 5.2871, 5.2871 and 5.2871 Å and the angles 90.00°, 90.00° and 90.00°. The asymmetric unit holds In at (0.0000, 0.0000, 0.0000), H at (0.5000, 0.5000, 0.5000) and I at (0.0000, 0.5000, 0.5000).

The calculation puts the distance to the lowest polymorph of the same formula at 0.586 eV/atom. Its total magnetic moment is 0.00 μB/cell. The total energy is -1.802 eV per atom.